--- w ---
Density functional theory data (PBE) for an optimized crystal structure of Sn6PbSe8.

Results
The density is 5.58 Mg/m³. As for the magnetic moment: 0.000 μB per atom. For the density of states at the Fermi level, the calculation gives 9.02 states/eV/f.u.

Unit cell a=10.2409 b=10.2409 c=15.2449 alpha=90.00 beta=90.00 gamma=120.00
Space group R-3 (No. 148, hexagonal axes)
One atom of each set of equivalent atoms:
Sn1 0.0010 0.7608 0.1240 x18
Pb1 0.0000 0.0000 0.5000 x3
Se1 0.0000 0.0000 0.2117 x6
Se2 0.0375 0.7593 0.6000 x18


--- x ---
Density functional theory data (PBE) for an optimized crystal structure of Sn6PbSe8.

Results
The density is 6.06 Mg/m³. As for the magnetic moment: 0.000 μB per atom. For the density of states at the Fermi level, the calculation gives 6.43 states/eV/f.u.

Unit cell a=10.5848 b=10.5848 c=4.3813 alpha=90.00 beta=90.00 gamma=120.00
Space group P-3 (No. 147)
One atom of each set of equivalent atoms:
Sn1 0.1324 0.6747 0.2396 x6
Pb1 0.0000 0.0000 0.0000 x1
Se1 0.0261 0.2944 0.2492 x6
Se2 0.3333 0.6667 0.7581 x2


x takes first place; second place is 0.031 eV/atom up.


--- w ---
Density functional theory data (PBE) for an optimized crystal structure of Sn2PbSe2.

Results
The density is 7.09 Mg/m³. As for the magnetic moment: 0.000 μB per atom. For the density of states at the Fermi level, the calculation gives 2.66 states/eV/f.u.

Unit cell a=8.342 b=8.342 c=4.053 alpha=90.00 beta=90.00 gamma=90.00
Space group P4/mbm (No. 127)
One atom of each set of equivalent atoms:
Sn1 0.147 0.353 0.000 x4
Pb1 0.000 0.000 0.000 x2
Se1 0.185 0.685 0.500 x4


--- x ---
Density functional theory data (PBE) for an optimized crystal structure of Sn2PbSe2.

Results
The density is 6.97 Mg/m³. As for the magnetic moment: 0.000 μB per atom. For the density of states at the Fermi level, the calculation gives 2.03 states/eV/f.u.

Unit cell a=8.444 b=8.444 c=4.024 alpha=90.00 beta=90.00 gamma=90.00
Space group P4/mbm (No. 127)
One atom of each set of equivalent atoms:
Sn1 0.174 0.326 0.000 x4
Pb1 0.000 0.000 0.500 x2
Se1 0.159 0.659 0.500 x4


--- y ---
Density functional theory data (PBE) for an optimized crystal structure of Sn2PbSe2.

Results
The density is 7.03 Mg/m³. As for the magnetic moment: 0.000 μB per atom. For the density of states at the Fermi level, the calculation gives 2.34 states/eV/f.u.

Unit cell a=4.140 b=4.140 c=16.605 alpha=90.00 beta=90.00 gamma=90.00
Space group I4/mmm (No. 139)
One atom of each set of equivalent atoms:
Sn1 0.000 0.500 0.250 x4
Pb1 0.000 0.000 0.000 x2
Se1 0.000 0.000 0.403 x4


x takes first place; second place is 0.067 eV/atom up.


--- w ---
Density functional theory data (PBE) for an optimized crystal structure of Sn2Pb2Se.

Results
The density is 8.03 Mg/m³. As for the magnetic moment: 0.000 μB per atom. For the density of states at the Fermi level, the calculation gives 2.12 states/eV/f.u.

Unit cell a=4.173 b=4.173 c=17.368 alpha=90.00 beta=90.00 gamma=90.00
Space group I4/mmm (No. 139)
One atom of each set of equivalent atoms:
Sn1 0.000 0.500 0.250 x4
Pb1 0.000 0.000 0.094 x4
Se1 0.000 0.000 0.500 x2


--- x ---
Density functional theory data (PBE) for an optimized crystal structure of Sn2Pb2Se.

Results
The density is 7.81 Mg/m³. As for the magnetic moment: 0.000 μB per atom. For the density of states at the Fermi level, the calculation gives 2.86 states/eV/f.u.

Unit cell a=8.322 b=8.322 c=4.486 alpha=90.00 beta=90.00 gamma=90.00
Space group P4/mbm (No. 127)
One atom of each set of equivalent atoms:
Sn1 0.124 0.376 0.000 x4
Pb1 0.180 0.680 0.500 x4
Se1 0.000 0.000 0.500 x2


--- y ---
Density functional theory data (PBE) for an optimized crystal structure of Sn2Pb2Se.

Results
The density is 8.15 Mg/m³. As for the magnetic moment: 0.000 μB per atom. For the density of states at the Fermi level, the calculation gives 2.60 states/eV/f.u.

Unit cell a=7.962 b=7.962 c=4.698 alpha=90.00 beta=90.00 gamma=90.00
Space group P4/mbm (No. 127)
One atom of each set of equivalent atoms:
Sn1 0.145 0.355 0.000 x4
Pb1 0.160 0.660 0.500 x4
Se1 0.000 0.000 0.000 x2


w takes first place; second place is 0.086 eV/atom up.


--- w ---
Density functional theory data (PBE) for an optimized crystal structure of SnPb2Se2.

Results
The density is 7.96 Mg/m³. As for the magnetic moment: 0.000 μB per atom. For the density of states at the Fermi level, the calculation gives 2.35 states/eV/f.u.

Unit cell a=8.411 b=8.411 c=4.075 alpha=90.00 beta=90.00 gamma=90.00
Space group P4/mbm (No. 127)
One atom of each set of equivalent atoms:
Sn1 0.000 0.000 0.000 x2
Pb1 0.150 0.350 0.000 x4
Se1 0.171 0.671 0.500 x4


--- x ---
Density functional theory data (PBE) for an optimized crystal structure of SnPb2Se2.

Results
The density is 8.03 Mg/m³. As for the magnetic moment: 0.000 μB per atom. For the density of states at the Fermi level, the calculation gives 2.15 states/eV/f.u.

Unit cell a=8.249 b=8.249 c=4.199 alpha=90.00 beta=90.00 gamma=90.00
Space group P4/mbm (No. 127)
One atom of each set of equivalent atoms:
Sn1 0.000 0.000 0.000 x2
Pb1 0.161 0.339 0.500 x4
Se1 0.157 0.657 0.000 x4


x takes first place; second place is 0.116 eV/atom up.


--- w ---
Density functional theory data (PBE) for an optimized crystal structure of Sn2PbSe3.

Results
The density is 5.93 Mg/m³. As for the magnetic moment: 0.000 μB per atom. For the density of states at the Fermi level, the calculation gives 1.71 states/eV/f.u.

Unit cell a=8.804 b=13.973 c=6.210 alpha=90.00 beta=90.00 gamma=90.00
Space group Cmcm (No. 63)
One atom of each set of equivalent atoms:
Sn1 0.170 0.000 0.000 x8
Pb1 0.000 0.249 0.250 x4
Se1 0.000 0.169 0.750 x4
Se2 0.199 0.350 0.750 x8


--- x ---
Density functional theory data (PBE) for an optimized crystal structure of Sn2PbSe3.

Results
The density is 6.60 Mg/m³. As for the magnetic moment: 0.000 μB per atom. For the density of states at the Fermi level, the calculation gives 0.63 states/eV/f.u.

Unit cell a=7.302 b=4.235 c=11.344 alpha=90.00 beta=102.37 gamma=90.00
Space group P2_1/m (No. 11)
One atom of each set of equivalent atoms:
Sn1 0.022 0.250 0.329 x2
Sn2 0.248 0.250 0.002 x2
Pb1 0.470 0.250 0.669 x2
Se1 0.131 0.750 0.158 x2
Se2 0.240 0.750 0.499 x2
Se3 0.358 0.750 0.841 x2


x takes first place; second place is 0.346 eV/atom up.


--- w ---
Density functional theory data (PBE) for an optimized crystal structure of SnPbSe.

Results
The density is 7.87 Mg/m³. As for the magnetic moment: 0.000 μB per atom. For the density of states at the Fermi level, the calculation gives 1.50 states/eV/f.u.

Unit cell a=3.7675 b=3.7675 c=6.9508 alpha=90.00 beta=90.00 gamma=120.00
Space group P3m1 (No. 156)
One atom of each set of equivalent atoms:
Sn1 0.0000 0.0000 0.0000 x1
Pb1 0.6667 0.3333 0.4007 x1
Se1 0.3333 0.6667 0.7404 x1


--- x ---
Density functional theory data (PBE) for an optimized crystal structure of SnPbSe.

Results
The density is 7.56 Mg/m³. As for the magnetic moment: 0.000 μB per atom. For the density of states at the Fermi level, the calculation gives 1.39 states/eV/f.u.

Unit cell a=5.818 b=10.382 c=5.887 alpha=90.00 beta=90.00 gamma=90.00
Space group Cmcm (No. 63)
One atom of each set of equivalent atoms:
Sn1 0.000 0.000 0.000 x4
Pb1 0.000 0.354 0.250 x4
Se1 0.000 0.256 0.750 x4


w takes first place; second place is 0.045 eV/atom up.


--- w ---
Density functional theory data (PBE) for an optimized crystal structure of SrPbSe.

Results
The density is 5.65 Mg/m³. As for the magnetic moment: 0.000 μB per atom. For the density of states at the Fermi level, the calculation gives 1.76 states/eV/f.u.

Unit cell a=4.199 b=4.199 c=12.467 alpha=90.00 beta=90.00 gamma=90.00
Space group I4mm (No. 107)
One atom of each set of equivalent atoms:
Sr1 0.000 0.000 0.000 x2
Pb1 0.000 0.000 0.319 x2
Se1 0.000 0.000 0.551 x2


--- x ---
Density functional theory data (PBE) for an optimized crystal structure of SrPbSe.

Results
The density is 5.81 Mg/m³. As for the magnetic moment: 0.000 μB per atom. For the density of states at the Fermi level, the calculation gives 2.24 states/eV/f.u.

Unit cell a=7.533 b=7.533 c=7.533 alpha=90.00 beta=90.00 gamma=90.00
Space group F-43m (No. 216)
One atom of each set of equivalent atoms:
Sr1 0.000 0.000 0.000 x4
Pb1 0.250 0.250 0.750 x4
Se1 0.250 0.250 0.250 x4


w takes first place; second place is 0.514 eV/atom up.


--- w ---
Density functional theory data (PBE) for an optimized crystal structure of SrPbSe.

Results
The density is 6.13 Mg/m³. As for the magnetic moment: 0.000 μB per atom. For the density of states at the Fermi level, the calculation gives 0.67 states/eV/f.u.

Unit cell a=4.1913 b=4.1913 c=13.3218 alpha=90.00 beta=90.00 gamma=120.00
Space group P-6m2 (No. 187)
One atom of each set of equivalent atoms:
Sr1 0.0000 0.0000 0.1479 x2
Pb1 0.6667 0.3333 0.3563 x2
Se1 0.0000 0.0000 0.5000 x1
Se2 0.6667 0.3333 0.0000 x1


--- x ---
Density functional theory data (PBE) for an optimized crystal structure of SrPbSe.

Results
The density is 6.40 Mg/m³. As for the magnetic moment: 0.000 μB per atom. For the density of states at the Fermi level, the calculation gives 0.91 states/eV/f.u.

Unit cell a=5.0898 b=5.0898 c=4.3194 alpha=90.00 beta=90.00 gamma=120.00
Space group P3m1 (No. 156)
One atom of each set of equivalent atoms:
Sr1 0.0000 0.0000 0.0000 x1
Pb1 0.6667 0.3333 0.4831 x1
Se1 0.3333 0.6667 0.6346 x1


w takes first place; second place is 0.037 eV/atom up.


--- w ---
Density functional theory data (PBE) for an optimized crystal structure of SrPb2Se2.

Results
The density is 7.16 Mg/m³. As for the magnetic moment: 0.000 μB per atom. For the density of states at the Fermi level, the calculation gives 0.62 states/eV/f.u.

Unit cell a=8.173 b=8.173 c=4.586 alpha=90.00 beta=90.00 gamma=90.00
Space group P4/mbm (No. 127)
One atom of each set of equivalent atoms:
Sr1 0.000 0.000 0.000 x2
Pb1 0.169 0.331 0.500 x4
Se1 0.163 0.663 0.000 x4


--- x ---
Density functional theory data (PBE) for an optimized crystal structure of SrPb2Se2.

Results
The density is 6.62 Mg/m³. As for the magnetic moment: 0.000 μB per atom. For the density of states at the Fermi level, the calculation gives 0.13 states/eV/f.u.

Unit cell a=5.864 b=5.864 c=9.623 alpha=90.00 beta=90.00 gamma=90.00
Space group I4/mmm (No. 139)
One atom of each set of equivalent atoms:
Sr1 0.000 0.000 0.000 x2
Pb1 0.000 0.000 0.339 x4
Se1 0.000 0.500 0.250 x4


--- y ---
Density functional theory data (PBE) for an optimized crystal structure of SrPb2Se2.

Results
The density is 7.05 Mg/m³. As for the magnetic moment: 0.000 μB per atom. For the density of states at the Fermi level, the calculation gives 2.19 states/eV/f.u.

Unit cell a=4.347 b=4.347 c=16.461 alpha=90.00 beta=90.00 gamma=90.00
Space group I4/mmm (No. 139)
One atom of each set of equivalent atoms:
Sr1 0.000 0.000 0.000 x2
Pb1 0.000 0.500 0.250 x4
Se1 0.000 0.000 0.408 x4


w takes first place; second place is 0.054 eV/atom up.


--- w ---
Density functional theory data (PBE) for an optimized crystal structure of Ta3PbSe.

Results
The density is 10.06 Mg/m³. As for the magnetic moment: 0.348 μB per atom. For the density of states at the Fermi level, the calculation gives 9.56 states/eV/f.u.

Unit cell a=5.154 b=5.154 c=5.154 alpha=90.00 beta=90.00 gamma=90.00
Space group Pm-3m (No. 221)
One atom of each set of equivalent atoms:
Ta1 0.000 0.000 0.500 x3
Pb1 0.000 0.000 0.000 x1
Se1 0.500 0.500 0.500 x1


--- x ---
Density functional theory data (PBE) for an optimized crystal structure of Ta3PbSe.

Results
The density is 12.59 Mg/m³. As for the magnetic moment: 0.000 μB per atom. For the density of states at the Fermi level, the calculation gives 6.25 states/eV/f.u.

Unit cell a=4.782 b=4.782 c=4.782 alpha=90.00 beta=90.00 gamma=90.00
Space group Pm-3m (No. 221)
One atom of each set of equivalent atoms:
Ta1 0.000 0.000 0.500 x3
Pb1 0.500 0.500 0.500 x1
Se1 0.000 0.000 0.000 x1


x takes first place; second place is 1.540 eV/atom up.


--- w ---
Density functional theory data (PBE) for an optimized crystal structure of TbPbSe.

Results
The density is 8.69 Mg/m³. As for the magnetic moment: 0.000 μB per atom. For the density of states at the Fermi level, the calculation gives 2.78 states/eV/f.u.

Unit cell a=3.815 b=3.815 c=11.685 alpha=90.00 beta=90.00 gamma=90.00
Space group I4mm (No. 107)
One atom of each set of equivalent atoms:
Tb1 0.000 0.000 0.000 x2
Pb1 0.000 0.000 0.307 x2
Se1 0.000 0.000 0.580 x2


--- x ---
Density functional theory data (PBE) for an optimized crystal structure of TbPbSe.

Results
The density is 8.91 Mg/m³. As for the magnetic moment: 0.000 μB per atom. For the density of states at the Fermi level, the calculation gives 2.00 states/eV/f.u.

Unit cell a=8.6080 b=8.6080 c=3.8771 alpha=90.00 beta=90.00 gamma=120.00
Space group P-62m (No. 189)
One atom of each set of equivalent atoms:
Tb1 0.0000 0.0000 0.0000 x1
Tb2 0.3333 0.6667 0.5000 x2
Pb1 0.0000 0.5565 0.0000 x3
Se1 0.0000 0.2551 0.5000 x3


w takes first place; second place is 0.156 eV/atom up.